Entry 1:
Compound: Ac2PuSb3Ir4
Source: Alexandria via LeMat-Bulk
Functional: GGA-PBE
Structure: relaxed

## Properties
Formation energy (no corrections) in eV/atom: -0.6236
Spin magnetization in μB per atom: 0.57

Cell lengths 4.546, 4.546, 11.331 Å; angles 90.00, 90.00, 90.00 degrees
Last column: magnetic moment on the atom in μB.
Atoms (fractional coordinates):
Sb (0.500, 0.000, 0.874)  0.01
Sb (0.000, 0.000, 0.500)  -0.05
Ir (0.500, 0.500, 0.000)  0.28
Ir (0.000, 0.000, 0.000)  0.28
Ir (0.000, 0.500, 0.359)  -0.12
Ir (0.500, 0.000, 0.641)  -0.12
Sb (0.000, 0.500, 0.126)  0.01
Ac (0.000, 0.500, 0.763)  0.04
Ac (0.500, 0.000, 0.237)  0.04
Pu (0.500, 0.500, 0.500)  5.01

=====

Entry 2:
Compound: Ac2PuSb4Ir3
Source: Alexandria via LeMat-Bulk
Functional: GGA-PBE
Structure: relaxed

## Properties
Formation energy (no corrections) in eV/atom: -0.5909
Spin magnetization in μB per atom: 0.53

Cell lengths 4.633, 4.633, 11.721 Å; angles 90.00, 90.00, 90.00 degrees
Last column: magnetic moment on the atom in μB.
Atoms (fractional coordinates):
Ir (0.000, 0.000, 0.500)  -0.29
Ac (0.000, 0.500, 0.768)  0.03
Sb (0.000, 0.500, 0.339)  -0.03
Sb (0.500, 0.000, 0.661)  -0.03
Sb (0.000, 0.000, 0.000)  0.00
Sb (0.500, 0.500, 0.000)  0.00
Ir (0.500, 0.000, 0.888)  0.00
Ac (0.500, 0.000, 0.232)  0.03
Ir (0.000, 0.500, 0.112)  0.00
Pu (0.500, 0.500, 0.500)  5.21